Entry 1:
Ca3GaH, single point on PBEsol structure, DFT SCAN; raw total energy = -0.741 Ry/atom
1.0
4.817 0.000 0.000
0.000 4.817 0.000
0.000 0.000 4.817
Ca Ga H
3 1 1
Cartesian
0.000 0.000 2.408
0.000 2.408 0.000
2.408 0.000 0.000
2.408 2.408 2.408
0.000 0.000 0.000

---

Entry 2:
Ca2GaH2, single point on PBEsol structure, DFT SCAN; raw total energy = -0.664 Ry/atom
1.0
-1.850 1.850 6.290
1.850 -1.850 6.290
1.850 1.850 -6.290
Ca Ga H
2 1 2
Cartesian
0.000 0.000 1.905
0.000 0.000 10.674
0.000 0.000 6.290
1.850 0.000 3.145
0.000 1.850 3.145

---

Entry 3:
CaGaSiH, single point on PBEsol structure, DFT SCAN; raw total energy = -0.757 Ry/atom
1.0
4.052 0.000 0.000
-2.026 3.509 0.000
0.000 0.000 4.614
Ca Ga Si H
1 1 1 1
Cartesian
0.000 0.000 0.000
0.000 2.339 2.035
2.026 1.170 2.595
0.000 2.339 0.288

---

Entry 4:
CaGaSnH, single point on PBEsol structure, DFT SCAN; raw total energy = -1.235 Ry/atom
1.0
4.323 0.000 0.000
-2.161 3.744 0.000
0.000 0.000 4.803
Ca Ga Sn H
1 1 1 1
Cartesian
0.000 0.000 0.000
0.000 2.496 1.845
2.161 1.248 2.663
0.000 2.496 0.129